Entry 1:
Material: LiPrAu
Method: DFT, PBE
State: relaxed

crystal system	hexagonal
polymorph energy (0 for the lowest one)	7	meV per atom
E	-3.830	eV/atom
formation enthalpy at 0 K	-0.506	eV per atom

a = 4.5634 Å, b = 4.5634 Å, c = 3.8527 Å
α = 90.00°, β = 90.00°, γ = 120.00°
Space group P-6m2 (No. 187)
Inequivalent atoms, fractional coordinates:
Li  0.0000  0.0000  0.0000
Pr  0.3333  0.6667  0.5000
Au  0.6667  0.3333  0.0000

Entry 2:
Material: Li2PrAu
Method: DFT, PBE
State: relaxed

crystal system	orthorhombic
polymorph energy (0 for the lowest one)	0	meV per atom
E	-3.369	eV/atom
formation enthalpy at 0 K	-0.398	eV per atom

a = 4.185 Å, b = 10.582 Å, c = 8.181 Å
α = 90.00°, β = 90.00°, γ = 90.00°
Space group Cmcm (No. 63)
Inequivalent atoms, fractional coordinates:
Li  0.000  0.160  0.055
Pr  0.000  0.442  0.250
Au  0.000  0.270  0.750

Entry 3:
Material: Li2Pr3Au6
Method: DFT, PBE
State: relaxed

crystal system	tetragonal
E	-4.045	eV/atom
formation enthalpy at 0 K	-0.606	eV per atom

a = 4.616 Å, b = 4.616 Å, c = 23.466 Å
α = 90.00°, β = 90.00°, γ = 90.00°
Space group I4/mmm (No. 139)
Inequivalent atoms, fractional coordinates:
Li  0.000  0.000  0.055
Pr  0.000  0.000  0.309
Pr  0.000  0.000  0.500
Au  0.000  0.000  0.180
Au  0.000  0.500  0.096

Entry 4:
Material: LiPrAu
Method: DFT, PBE
State: relaxed

crystal system	tetragonal
polymorph energy (0 for the lowest one)	56	meV per atom
E	-3.780	eV/atom
formation enthalpy at 0 K	-0.457	eV per atom

a = 3.833 Å, b = 3.833 Å, c = 9.500 Å
α = 90.00°, β = 90.00°, γ = 90.00°
Space group I4mm (No. 107)
Inequivalent atoms, fractional coordinates:
Li  0.000  0.000  0.000
Pr  0.000  0.000  0.304
Au  0.000  0.000  0.640

Entry 5:
Material: Li2PrAu
Method: DFT, PBE
State: relaxed

crystal system	trigonal
polymorph energy (0 for the lowest one)	44	meV per atom
E	-3.325	eV/atom
formation enthalpy at 0 K	-0.354	eV per atom

a = 4.5542 Å, b = 4.5542 Å, c = 14.8806 Å
α = 90.00°, β = 90.00°, γ = 120.00°
Space group R3m (No. 160, hexagonal axes)
Inequivalent atoms, fractional coordinates:
Li  0.0000  0.0000  0.0000
Li  0.0000  0.0000  0.2834
Pr  0.0000  0.0000  0.4874
Au  0.0000  0.0000  0.6962

Entry 6:
Material: LiPr4Au5
Method: DFT, PBE
State: relaxed

crystal system	tetragonal
E	-4.432	eV/atom
formation enthalpy at 0 K	-0.690	eV per atom

a = 3.678 Å, b = 3.678 Å, c = 18.031 Å
α = 90.00°, β = 90.00°, γ = 90.00°
Space group P4/mmm (No. 123)
Inequivalent atoms, fractional coordinates:
Li  0.000  0.000  0.000
Pr  0.000  0.000  0.181
Pr  0.000  0.000  0.394
Au  0.500  0.500  0.078
Au  0.500  0.500  0.288
Au  0.500  0.500  0.500

Entry 7:
Material: Li3PrAu3
Method: DFT, PBE
State: relaxed

crystal system	cubic
polymorph energy (0 for the lowest one)	364	meV per atom
E	-3.102	eV/atom
formation enthalpy at 0 K	-0.194	eV per atom

a = 6.737 Å, b = 6.737 Å, c = 6.737 Å
α = 90.00°, β = 90.00°, γ = 90.00°
Space group Pm-3n (No. 223)
Inequivalent atoms, fractional coordinates:
Li  0.000  0.250  0.500
Pr  0.000  0.000  0.000
Au  0.000  0.500  0.250

Entry 8:
Material: Li2PrAu
Method: DFT, PBE
State: relaxed

crystal system	monoclinic
polymorph energy (0 for the lowest one)	68	meV per atom
E	-3.301	eV/atom
formation enthalpy at 0 K	-0.330	eV per atom

a = 5.737 Å, b = 12.599 Å, c = 5.632 Å
α = 90.00°, β = 111.98°, γ = 90.00°
Space group C2/c (No. 15)
Inequivalent atoms, fractional coordinates:
Li  0.165  0.088  0.099
Pr  0.000  0.350  0.250
Au  0.000  0.247  0.750

Entry 9:
Material: LiPr6Au5
Method: DFT, PBE
State: relaxed

crystal system	monoclinic
E	-4.546	eV/atom
formation enthalpy at 0 K	-0.631	eV per atom

a = 9.181 Å, b = 16.041 Å, c = 5.240 Å
α = 90.00°, β = 124.72°, γ = 90.00°
Space group C2/m (No. 12)
Inequivalent atoms, fractional coordinates:
Li  0.000  0.000  0.000
Pr  0.238  0.500  0.238
Pr  0.247  0.329  0.747
Au  0.000  0.145  0.500
Au  0.000  0.330  0.000
Au  0.000  0.500  0.500

Entry 10:
Material: Li7Pr3Au4
Method: DFT, PBE
State: relaxed

crystal system	monoclinic
E	-3.374	eV/atom
formation enthalpy at 0 K	-0.457	eV per atom

a = 16.255 Å, b = 4.277 Å, c = 10.506 Å
α = 90.00°, β = 125.13°, γ = 90.00°
Space group C2/m (No. 12)
Inequivalent atoms, fractional coordinates:
Li  0.000  0.000  0.000
Li  0.016  0.500  0.806
Li  0.164  0.000  0.929
Li  0.176  0.500  0.506
Pr  0.000  0.000  0.500
Pr  0.200  0.500  0.219
Au  0.106  0.000  0.319
Au  0.156  0.500  0.755

Entry 11:
Material: Li3PrAu3
Method: DFT, PBE
State: relaxed

crystal system	monoclinic
polymorph energy (0 for the lowest one)	0	meV per atom
E	-3.465	eV/atom
formation enthalpy at 0 K	-0.558	eV per atom

a = 8.517 Å, b = 4.613 Å, c = 8.520 Å
α = 90.00°, β = 119.97°, γ = 90.00°
Space group P2_1/m (No. 11)
Inequivalent atoms, fractional coordinates:
Li  0.011  0.250  0.262
Li  0.238  0.250  0.748
Li  0.249  0.750  0.511
Pr  0.333  0.750  0.167
Au  0.066  0.250  0.936
Au  0.371  0.250  0.435
Au  0.436  0.750  0.871

Entry 12:
Material: LiPrAu2
Method: DFT, PBE
State: relaxed

crystal system	orthorhombic
E	-3.865	eV/atom
formation enthalpy at 0 K	-0.553	eV per atom

a = 3.657 Å, b = 6.995 Å, c = 7.431 Å
α = 90.00°, β = 90.00°, γ = 90.00°
Space group Amm2 (No. 38)
Inequivalent atoms, fractional coordinates:
Li  0.000  0.000  0.000
Pr  0.500  0.000  0.576
Au  0.000  0.209  0.287

Entry 13:
Material: LiPrAu
Method: DFT, PBE
State: relaxed

crystal system	tetragonal
polymorph energy (0 for the lowest one)	16	meV per atom
E	-3.821	eV/atom
formation enthalpy at 0 K	-0.497	eV per atom

a = 8.365 Å, b = 8.365 Å, c = 4.163 Å
α = 90.00°, β = 90.00°, γ = 90.00°
Space group P4_2/m (No. 84)
Inequivalent atoms, fractional coordinates:
Li  0.093  0.853  0.000
Pr  0.214  0.414  0.000
Au  0.065  0.661  0.500

Entry 14:
Material: Li4Pr3Au4
Method: DFT, PBE
State: relaxed

crystal system	orthorhombic
polymorph energy (0 for the lowest one)	0	meV per atom
E	-3.771	eV/atom
formation enthalpy at 0 K	-0.579	eV per atom

a = 4.209 Å, b = 7.907 Å, c = 14.645 Å
α = 90.00°, β = 90.00°, γ = 90.00°
Space group Immm (No. 71)
Inequivalent atoms, fractional coordinates:
Li  0.000  0.192  0.177
Pr  0.000  0.000  0.377
Pr  0.000  0.500  0.500
Au  0.000  0.304  0.000
Au  0.000  0.500  0.281

Entry 15:
Material: Li3Pr2Au2
Method: DFT, PBE
State: relaxed

crystal system	monoclinic
E	-3.592	eV/atom
formation enthalpy at 0 K	-0.469	eV per atom

a = 10.646 Å, b = 4.343 Å, c = 7.536 Å
α = 90.00°, β = 113.27°, γ = 90.00°
Space group C2/m (No. 12)
Inequivalent atoms, fractional coordinates:
Li  0.000  0.000  0.000
Li  0.144  0.000  0.436
Pr  0.139  0.500  0.775
Au  0.146  0.500  0.200

Entry 16:
Material: Li12PrAu6
Method: DFT, PBE
State: relaxed

crystal system	trigonal
E	-2.861	eV/atom
formation enthalpy at 0 K	-0.366	eV per atom

a = 11.2960 Å, b = 11.2960 Å, c = 9.6796 Å
α = 90.00°, β = 90.00°, γ = 120.00°
Space group R-3m (No. 166, hexagonal axes)
Inequivalent atoms, fractional coordinates:
Li  0.0000  0.3897  0.0000
Li  0.0919  0.1838  0.8568
Pr  0.0000  0.0000  0.5000
Au  0.0006  0.5003  0.7655

Entry 17:
Material: Li2PrAu8
Method: DFT, PBE
State: relaxed

crystal system	tetragonal
E	-3.419	eV/atom
formation enthalpy at 0 K	-0.253	eV per atom

a = 5.515 Å, b = 5.515 Å, c = 8.434 Å
α = 90.00°, β = 90.00°, γ = 90.00°
Space group P4/mmm (No. 123)
Inequivalent atoms, fractional coordinates:
Li  0.000  0.500  0.000
Pr  0.000  0.000  0.500
Au  0.253  0.253  0.223

Entry 18:
Material: LiPr3Au4
Method: DFT, PBE
State: relaxed

crystal system	orthorhombic
E	-4.301	eV/atom
formation enthalpy at 0 K	-0.631	eV per atom

a = 4.111 Å, b = 6.974 Å, c = 14.938 Å
α = 90.00°, β = 90.00°, γ = 90.00°
Space group Immm (No. 71)
Inequivalent atoms, fractional coordinates:
Li  0.000  0.000  0.000
Pr  0.000  0.000  0.500
Pr  0.000  0.500  0.299
Au  0.000  0.284  0.120

Entry 19:
Material: Li2Pr2Au3
Method: DFT, PBE
State: relaxed

crystal system	orthorhombic
E	-3.937	eV/atom
formation enthalpy at 0 K	-0.620	eV per atom

a = 4.118 Å, b = 19.616 Å, c = 7.860 Å
α = 90.00°, β = 90.00°, γ = 90.00°
Space group Cmcm (No. 63)
Inequivalent atoms, fractional coordinates:
Li  0.000  0.193  0.058
Pr  0.000  0.345  0.250
Pr  0.000  0.446  0.750
Au  0.000  0.066  0.563
Au  0.000  0.277  0.750

Entry 20:
Material: LiPrAu
Method: DFT, PBE
State: relaxed

crystal system	orthorhombic
polymorph energy (0 for the lowest one)	0	meV per atom
E	-3.837	eV/atom
formation enthalpy at 0 K	-0.513	eV per atom

a = 4.578 Å, b = 7.588 Å, c = 7.936 Å
α = 90.00°, β = 90.00°, γ = 90.00°
Space group Imm2 (No. 44)
Inequivalent atoms, fractional coordinates:
Li  0.000  0.216  0.000
Pr  0.000  0.000  0.360
Pr  0.000  0.500  0.304
Au  0.000  0.272  0.668